The following is a DFT calculation (GGA-PBE) of crystalline ZnBS3 at its relaxed geometry.

Geometry as extended XYZ:
```
5
Lattice="4.664 0.000 0.000 0.000 4.664 0.000 0.000 0.000 4.664" Properties=species:S:1:pos:R:3 pbc="T T T"
Zn 0.000 0.000 0.000
B 2.332 2.332 2.332
S 0.000 2.332 0.000
S 0.000 0.000 2.332
S 2.332 0.000 0.000
```

The value obtained for the uncorrected formation energy is 1393.5 meV/atom. Its space group is No. 221. The value obtained for the density of states at the Fermi level is 0.9540 states/eV/atom.